1.
Density functional theory data (PBE) for AcSn2HgPd after structural relaxation.

Values from the calculation:
- Calculated volume: 30.7 Å³ per atom
- DOS at the Fermi energy: 0.4778 states/eV per atom
- ΔH_f (0 K): -0.363 eV per atom

a b c (Å): 4.9966 4.9966 6.1493
angles (deg): 90.00 90.00 90.00
Last column: nearest neighbours and their distance in Å.
Space group P4mm (No. 99)
Symmetry-distinct sites (fractional):
1 Ac 0.0000 0.0000 0.0000 (multiplicity 1)  1 Pd 2.80
2 Sn 0.0000 0.5000 0.4124 (multiplicity 2)  2 Pd 2.63
3 Hg 0.5000 0.5000 0.0631 (multiplicity 1)  4 Sn 3.29, 4 Ac 3.55
4 Pd 0.0000 0.0000 0.5454 (multiplicity 1)  4 Sn 2.63, 1 Ac 2.80

=====

2.
Density functional theory data (PBE) for Ac3SnHg2Pd6 after structural relaxation.

Values from the calculation:
- Calculated volume: 23.5 Å³ per atom
- DOS at the Fermi energy: 0.5398 states/eV per atom
- ΔH_f (0 K): -0.694 eV per atom

a b c (Å): 5.9752 5.9752 9.1169
angles (deg): 90.00 90.00 120.00
Last column: nearest neighbours and their distance in Å.
Space group P-3m1 (No. 164)
Symmetry-distinct sites (fractional):
1 Ac 0.0000 0.0000 0.0000 (multiplicity 1)  6 Pd 3.12, 6 Hg 3.45
2 Ac 0.3333 0.6667 0.6229 (multiplicity 2)  6 Pd 3.12
3 Sn 0.0000 0.0000 0.5000 (multiplicity 1)  6 Pd 2.72
4 Hg 0.3333 0.6667 0.0076 (multiplicity 2)  3 Pd 2.95
5 Pd 0.1758 0.3517 0.2776 (multiplicity 6)  1 Sn 2.72, 2 Pd 2.82, 1 Hg 2.95

=====

3.
Density functional theory data (PBE) for AcTbHgPd after structural relaxation.

Values from the calculation:
- Calculated volume: 27.3 Å³ per atom
- DOS at the Fermi energy: 0.8015 states/eV per atom
- ΔH_f (0 K): -0.543 eV per atom

a b c (Å): 7.5892 7.5892 7.5892
angles (deg): 90.00 90.00 90.00
Last column: nearest neighbours and their distance in Å.
Space group F-43m (No. 216)
Symmetry-distinct sites (fractional):
1 Ac 0.0000 0.0000 0.0000 (multiplicity 4)  4 Pd 3.29, 4 Hg 3.29
2 Tb 0.0000 0.0000 0.5000 (multiplicity 4)  4 Hg 3.29, 4 Pd 3.29
3 Hg 0.2500 0.2500 0.2500 (multiplicity 4)  4 Ac 3.29, 4 Tb 3.29
4 Pd 0.2500 0.2500 0.7500 (multiplicity 4)  4 Tb 3.29, 4 Ac 3.29

=====

4.
Density functional theory data (PBE) for AcHgTePd after structural relaxation.

Values from the calculation:
- Formation energy (no corrections): -13.50 kcal/mol of atoms
- Calculated volume: 26.6 Å³ per atom
- DOS at the Fermi energy: 0.4332 states/eV per atom

a b c (Å): 7.5225 7.5225 7.5225
angles (deg): 90.00 90.00 90.00
Last column: nearest neighbours and their distance in Å.
Space group F-43m (No. 216)
Symmetry-distinct sites (fractional):
1 Ac 0.0000 0.0000 0.0000 (multiplicity 4)  4 Hg 3.26, 4 Pd 3.26
2 Hg 0.2500 0.2500 0.2500 (multiplicity 4)  4 Ac 3.26, 4 Te 3.26
3 Te 0.0000 0.0000 0.5000 (multiplicity 4)  4 Hg 3.26, 4 Pd 3.26
4 Pd 0.2500 0.2500 0.7500 (multiplicity 4)  4 Ac 3.26, 4 Te 3.26

=====

5.
Density functional theory data (PBE) for AcThHgPd after structural relaxation.

Values from the calculation:
- Calculated volume: 28.0 Å³ per atom
- DOS at the Fermi energy: 0.9025 states/eV per atom
- ΔH_f (0 K): -0.392 eV per atom

a b c (Å): 7.6479 7.6479 7.6479
angles (deg): 90.00 90.00 90.00
Last column: nearest neighbours and their distance in Å.
Space group F-43m (No. 216)
Symmetry-distinct sites (fractional):
1 Ac 0.0000 0.0000 0.0000 (multiplicity 4)  4 Hg 3.31, 4 Pd 3.31
2 Th 0.0000 0.0000 0.5000 (multiplicity 4)  4 Hg 3.31, 4 Pd 3.31
3 Hg 0.2500 0.2500 0.7500 (multiplicity 4)  4 Ac 3.31, 4 Th 3.31
4 Pd 0.2500 0.2500 0.2500 (multiplicity 4)  4 Ac 3.31, 4 Th 3.31

=====

6.
Density functional theory data (PBE) for AcTlHgPd after structural relaxation.

Values from the calculation:
- Calculated volume: 26.4 Å³ per atom
- DOS at the Fermi energy: 0.8717 states/eV per atom
- ΔH_f (0 K): -0.432 eV per atom

a b c (Å): 7.5036 7.5036 7.5036
angles (deg): 90.00 90.00 90.00
Last column: nearest neighbours and their distance in Å.
Space group F-43m (No. 216)
Symmetry-distinct sites (fractional):
1 Ac 0.0000 0.0000 0.0000 (multiplicity 4)  4 Hg 3.25, 4 Pd 3.25
2 Tl 0.0000 0.0000 0.5000 (multiplicity 4)  4 Hg 3.25, 4 Pd 3.25
3 Hg 0.2500 0.2500 0.7500 (multiplicity 4)  4 Ac 3.25, 4 Tl 3.25
4 Pd 0.2500 0.2500 0.2500 (multiplicity 4)  4 Ac 3.25, 4 Tl 3.25